! SrLaHo, optimized geometry, DFT PBE-GGA; values from VASP
! Calculated total energy in eV for the cell shown: -10.8
! Total magnetization in μB/atom: 0.0001
! DOS at the Fermi energy in states/eV/atom: 1.31
&SYSTEM
  ibrav = 0, nat = 3, ntyp = 3
/
ATOMIC_SPECIES
Sr 87.62 Sr.upf
La 138.91 La.upf
Ho 164.93 Ho.upf
CELL_PARAMETERS angstrom
3.791 0.000 0.000
-1.896 3.283 0.000
0.000 0.000 9.435
ATOMIC_POSITIONS angstrom
Sr 0.000 0.000 0.000
La 0.000 2.189 5.985
Ho 1.896 1.094 3.212